Density functional theory data (PBE) for crystalline NaEu2In at its relaxed geometry.

Values from the calculation:
ΔH_f (0 K) ... -0.1777 eV per atom
DOS at the Fermi energy ... 4.737 states/eV/atom
Calculated volume ... 134.15 Å³/f.u.
E_tot ... -6.3293 eV per atom
Total magnetic moment ... 14.74 Bohr magnetons per cell
Relative energy among the computed polymorphs ... 0.037 eV/atom

Unit cell a=4.158 b=5.680 c=5.680 alpha=90.00 beta=90.00 gamma=90.00
Atoms (fractional coordinates):
Eu1 0.000 0.000 0.500
Eu2 0.000 0.500 0.000
In1 0.500 0.000 0.000
Na1 0.500 0.500 0.500